A geometry-optimized Dy2Sc2CCl3F2 structure. Source: OQMD via LeMat-Bulk, functional PBE.

* total DFT energy (no corrections): -61.38 eV for the cell shown
* SG: C2/m, No. 12

a b c (Å): 7.412 7.412 7.817
angles (deg): 104.22 104.22 27.57
Sites, in units of the cell vectors:
Dy (0.006, 0.006, 0.292)
Dy (0.994, 0.994, 0.708)
Sc (0.343, 0.343, 0.422)
Sc (0.657, 0.657, 0.578)
C (0.500, 0.500, 0.500)
Cl (0.190, 0.190, 0.820)
Cl (0.500, 0.500, 0.000)
Cl (0.810, 0.810, 0.180)
F (0.180, 0.180, 0.409)
F (0.820, 0.820, 0.591)

A geometry-optimized Sm2Dy2CCl4F structure. Source: OQMD via LeMat-Bulk, functional PBE.

* total DFT energy (no corrections): -55.60 eV for the cell shown
* SG: C2/m, No. 12

a b c (Å): 8.751 8.751 7.344
angles (deg): 102.74 102.74 23.80
Sites, in units of the cell vectors:
Sm (0.148, 0.148, 0.091)
Sm (0.852, 0.852, 0.909)
Dy (0.497, 0.497, 0.230)
Dy (0.503, 0.503, 0.770)
C (0.000, 0.000, 0.000)
Cl (0.331, 0.331, 0.184)
Cl (0.343, 0.343, 0.623)
Cl (0.657, 0.657, 0.377)
Cl (0.669, 0.669, 0.816)
F (0.000, 0.000, 0.500)

A geometry-optimized Dy2Y2CCl2F3 structure. Source: OQMD via LeMat-Bulk, functional PBE.

* total DFT energy (no corrections): -63.08 eV for the cell shown
* SG: C2/m, No. 12

a b c (Å): 7.806 7.806 6.738
angles (deg): 102.57 102.57 26.25
Sites, in units of the cell vectors:
Dy (0.022, 0.022, 0.271)
Dy (0.978, 0.978, 0.729)
Y (0.341, 0.341, 0.363)
Y (0.659, 0.659, 0.637)
C (0.500, 0.500, 0.500)
Cl (0.155, 0.155, 0.939)
Cl (0.845, 0.845, 0.061)
F (0.184, 0.184, 0.412)
F (0.500, 0.500, 0.000)
F (0.816, 0.816, 0.588)